First-principles (GGA-PBE) data for crystalline BaLaGa at its relaxed geometry, as listed in Alexandria via LeMat-Bulk.

Calculated values
ΔE_f = -0.22 eV per atom
energy above the most stable polymorph in this dataset = 0.124 eV/atom
total magnetic moment = 0.0 μB per cell
SG = Cm (8)

POSCAR file:
```
BaLaGa
1.0
-9.416 -1.599 -1.570
0.160 0.056 3.943
-0.956 5.683 -0.042
La Ba Ga
2 2 2
Cartesian
-4.324 2.326 0.879 La
-6.291 -0.922 1.001 La
-1.111 -0.050 0.784 Ba
-8.376 1.635 -0.926 Ba
-3.901 -0.514 2.874 Ga
-1.810 2.772 2.745 Ga
```

---

First-principles (GGA-PBE) data for crystalline BaLiLaGa at its relaxed geometry, as listed in Alexandria via LeMat-Bulk.

Calculated values
ΔE_f = -0.13 eV per atom
total magnetic moment = 0.0 μB per cell
SG = F-43m (216)

POSCAR file:
```
BaLiLaGa
1.0
-5.346 -1.392 -1.034
-3.498 -1.082 4.264
-4.131 3.606 1.230
Li Ba Ga La
1 1 1 1
Cartesian
-9.731 0.849 3.345 Li
-6.488 0.566 2.230 Ba
-3.244 0.283 1.115 Ga
0.000 0.000 0.000 La
```

---

First-principles (GGA-PBE) data for crystalline Ba2LiLaGa at its relaxed geometry, as listed in Alexandria via LeMat-Bulk.

Calculated values
ΔE_f = 0.11 eV per atom
total magnetic moment = 0.1 μB per cell
SG = P4/mmm (123)

POSCAR file:
```
Ba2LiLaGa
1.0
-5.349 3.713 -0.821
-2.842 -4.598 -2.282
-2.087 -1.683 5.990
Li Ba La Ga
1 2 1 1
Cartesian
-5.139 -1.284 1.444 Li
-2.674 1.856 -0.410 Ba
-1.043 -0.841 2.995 Ba
-1.421 -2.299 -1.141 La
0.000 0.000 0.000 Ga
```

---

First-principles (GGA-PBE) data for crystalline BaLaMgGa at its relaxed geometry, as listed in Alexandria via LeMat-Bulk.

Calculated values
ΔE_f = -0.18 eV per atom
total magnetic moment = 0.0 μB per cell
SG = F-43m (216)

POSCAR file:
```
BaLaMgGa
1.0
5.676 0.000 0.000
2.838 4.916 0.000
2.838 1.639 4.635
Ba Mg La Ga
1 1 1 1
Cartesian
2.838 1.639 1.159 Ba
5.676 3.277 2.317 Mg
8.514 4.916 3.476 La
0.000 0.000 0.000 Ga
```

---

First-principles (GGA-PBE) data for crystalline BaLa2GaN at its relaxed geometry, as listed in Alexandria via LeMat-Bulk.

Calculated values
energy above the most stable polymorph in this dataset = 2.382 eV/atom
total magnetic moment = 1.3 μB per cell
energy relative to the elements, uncorrected = 1783 meV per atom
SG = P4/mmm (123)

POSCAR file:
```
BaLa2GaN
1.0
-5.681 -0.837 -1.014
1.013 -5.653 -1.007
-0.752 -1.038 5.070
N Ga La Ba
1 1 2 1
Cartesian
-2.710 -3.764 1.525 N
-0.376 -0.519 2.535 Ga
0.506 -2.827 -0.504 La
-2.840 -0.419 -0.507 La
0.000 0.000 0.000 Ba
```

---

First-principles (GGA-PBE) data for crystalline BaLa2GaN at its relaxed geometry, as listed in Alexandria via LeMat-Bulk.

Calculated values
energy above the most stable polymorph in this dataset = 0.000 eV/atom
total magnetic moment = 0.0 μB per cell
energy relative to the elements, uncorrected = -599 meV per atom
SG = P4/mmm (123)

POSCAR file:
```
BaLa2GaN
1.0
-3.024 -3.707 -1.703
2.078 0.424 -4.614
3.824 -3.752 1.377
La N Ba Ga
2 1 1 1
Cartesian
1.039 0.212 -2.307 La
-1.512 -1.854 -0.852 La
0.000 0.000 0.000 N
1.912 -1.876 0.689 Ba
1.439 -3.518 -2.470 Ga
```

---

First-principles (GGA-PBE) data for crystalline BaLaGaO4 at its relaxed geometry, as listed in Alexandria via LeMat-Bulk.

Calculated values
total magnetic moment = 0.0 μB per cell
energy relative to the elements, uncorrected = -2650 meV per atom
SG = P2_1/m (11)

POSCAR file:
```
BaLaGaO4
1.0
5.940 0.000 0.027
0.000 5.970 0.000
-2.299 0.000 6.967
Ga Ba O La
2 2 8 2
Cartesian
0.762 4.478 2.235 Ga
2.879 1.493 4.759 Ga
1.562 1.493 0.506 Ba
2.079 4.478 6.488 Ba
2.254 1.493 3.000 O
1.358 1.493 5.836 O
4.090 2.908 4.998 O
-0.449 3.062 1.995 O
1.387 4.478 3.994 O
-0.449 5.893 1.995 O
4.090 0.077 4.998 O
2.283 4.478 1.158 O
-0.027 1.493 3.783 La
3.668 4.478 3.211 La
```

---

First-principles (GGA-PBE) data for crystalline BaLa2GaO at its relaxed geometry, as listed in Alexandria via LeMat-Bulk.

Calculated values
total magnetic moment = 0.0 μB per cell
energy relative to the elements, uncorrected = -1230 meV per atom
SG = P4/mmm (123)

POSCAR file:
```
BaLa2GaO
1.0
-1.240 -0.740 4.841
-0.039 -4.992 -0.773
5.208 -0.241 1.297
La O Ba Ga
2 1 1 1
Cartesian
-0.620 -0.370 2.420 La
-0.019 -2.496 -0.386 La
0.000 0.000 0.000 O
2.604 -0.121 0.649 Ba
1.965 -2.987 2.683 Ga
```

---

First-principles (GGA-PBE) data for crystalline Ba6La2Ga4O15 at its relaxed geometry, as listed in Alexandria via LeMat-Bulk.

Calculated values
total magnetic moment = 0.0 μB per cell
energy relative to the elements, uncorrected = -2554 meV per atom
SG = Cc (9)

POSCAR file:
```
Ba6La2Ga4O15
1.0
-0.339 -0.794 7.161
-5.481 -10.508 -1.475
11.924 0.384 0.557
O Ga Ba La
30 8 12 4
Cartesian
7.655 -0.543 0.413 O
7.357 -4.574 4.656 O
-1.158 -6.240 0.555 O
1.653 -8.336 5.384 O
-1.452 -4.488 3.220 O
9.932 -0.660 2.458 O
9.471 -3.053 0.504 O
-0.059 -2.599 5.264 O
1.634 -1.248 1.862 O
1.598 -4.500 3.438 O
-1.543 -10.236 2.818 O
3.299 -7.254 3.244 O
4.353 -2.829 2.398 O
6.168 -8.363 1.264 O
5.786 -2.186 4.966 O
4.414 -4.716 4.573 O
7.492 -2.716 2.529 O
4.695 -6.090 -0.193 O
1.741 -6.097 0.661 O
-2.994 -7.499 2.769 O
5.999 -5.325 2.291 O
0.356 -8.664 0.238 O
0.109 -5.776 5.503 O
-4.194 -9.791 4.409 O
-1.342 -8.535 5.097 O
2.930 -3.376 -0.007 O
1.821 -9.990 3.071 O
4.459 -9.724 4.665 O
7.786 -5.966 0.167 O
4.246 -0.631 0.286 O
3.191 -1.918 1.144 Ga
-0.002 -4.207 4.371 Ga
2.935 -8.906 4.066 Ga
8.741 -1.665 1.472 Ga
6.184 -6.582 0.845 Ga
5.907 -3.722 3.746 Ga
0.363 -6.901 -0.502 Ga
-2.631 -9.072 3.744 Ga
11.902 0.363 0.581 Ba
0.150 -3.758 0.845 Ba
-2.509 -8.684 0.130 Ba
5.821 -0.554 2.704 Ba
-2.589 -6.108 5.322 Ba
-5.626 -10.897 2.134 Ba
0.166 -7.274 2.757 Ba
6.056 -7.115 4.409 Ba
8.605 -2.020 5.029 Ba
3.211 -8.605 0.476 Ba
2.974 -2.282 4.775 Ba
5.780 -4.051 7.013 Ba
8.710 -4.926 2.331 La
3.459 -5.141 2.110 La
2.595 -5.973 5.610 La
0.144 -10.578 4.931 La
```

---

First-principles (GGA-PBE) data for crystalline BaLa2GaP at its relaxed geometry, as listed in Alexandria via LeMat-Bulk.

Calculated values
ΔE_f = -0.31 eV per atom
total magnetic moment = 0.0 μB per cell
SG = P4/mmm (123)

POSCAR file:
```
BaLa2GaP
1.0
-2.245 0.157 -5.207
-4.776 -0.808 2.035
-0.740 5.603 0.487
Ba P La Ga
1 1 2 1
Cartesian
-3.881 2.476 -1.342 Ba
0.000 0.000 0.000 P
-0.370 2.802 0.244 La
-1.123 0.078 -2.604 La
-2.388 -0.404 1.017 Ga
```

---

First-principles (GGA-PBE) data for crystalline Ba2LaGaPb at its relaxed geometry, as listed in Alexandria via LeMat-Bulk.

Calculated values
ΔE_f = -0.07 eV per atom
total magnetic moment = 0.0 μB per cell
SG = P4/mmm (123)

POSCAR file:
```
Ba2LaGaPb
1.0
-2.072 5.608 2.147
-5.347 -1.586 -1.018
-0.406 -2.397 5.868
Pb Ba Ga La
1 2 1 1
Cartesian
-3.913 0.812 3.499 Pb
-0.203 -1.198 2.934 Ba
-1.036 2.804 1.073 Ba
0.000 0.000 0.000 Ga
-2.674 -0.793 -0.509 La
```

---

First-principles (GGA-PBE) data for crystalline BaLaGa2Pd2 at its relaxed geometry, as listed in Alexandria via LeMat-Bulk.

Calculated values
ΔE_f = -0.72 eV per atom
total magnetic moment = 0.0 μB per cell
SG = P-3m1 (164)

POSCAR file:
```
BaLaGa2Pd2
1.0
-2.714 1.416 3.406
-1.304 -3.487 -2.668
3.709 -5.351 5.179
Ga Pd La Ba
2 2 1 1
Cartesian
0.422 -4.064 5.104 Ga
-0.731 -3.357 0.813 Ga
0.856 -5.646 3.029 Pd
-1.165 -1.775 2.888 Pd
1.855 -2.675 2.590 La
0.000 0.000 0.000 Ba
```